Record 1
Here is a crystal of ZrOsCCl2 relaxed with PBEsol from the Alexandria database. Energies are from meta-GGA SCAN.

a b c (Å): 3.8066 4.8206 4.8206
angles (deg): 90.00 90.00 90.00
Fractional coordinates of all 5 atoms:
C 0.5000 0.0000 0.0000
Os 0.0000 0.0000 0.0000
Zr 0.5000 0.5000 0.5000
Cl 0.0000 0.0000 0.5000
Cl 0.0000 0.5000 0.0000

Space group   P4/mmm (123)
Formation energy (no corrections)   0.78 eV per atom
Total magnetization   1.691 μB per formula unit



Record 2
Here is a crystal of PCCl2 relaxed with PBEsol from the Alexandria database. Energies are from meta-GGA SCAN.

a b c (Å): 2.9072 2.9072 8.9753
angles (deg): 80.68 80.68 60.00
Fractional coordinates of all 4 atoms:
P 0.5000 0.5000 0.5000
C 0.0000 0.0000 0.0000
Cl 0.9398 0.9398 0.1806
Cl 0.0602 0.0602 0.8194

Space group   R-3m (166)
Formation energy (no corrections)   1.51 eV per atom
Total magnetization   0.040 μB per formula unit



Record 3
Here is a crystal of P2RhCCl relaxed with PBEsol from the Alexandria database. Energies are from meta-GGA SCAN.

a b c (Å): 3.9295 3.9295 4.1703
angles (deg): 90.00 90.00 90.00
Fractional coordinates of all 5 atoms:
P 0.0000 0.5000 0.0000
P 0.5000 0.0000 0.0000
C 0.0000 0.0000 0.0000
Rh 0.5000 0.5000 0.5000
Cl 0.0000 0.0000 0.5000

Space group   P4/mmm (123)
Formation energy (no corrections)   1.35 eV per atom
Total magnetization   0.000 μB per formula unit



Record 4
Here is a crystal of TePCCl2 relaxed with PBEsol from the Alexandria database. Energies are from meta-GGA SCAN.

a b c (Å): 5.1451 5.1451 5.2606
angles (deg): 90.00 90.00 90.00
Fractional coordinates of all 5 atoms:
P 0.0000 0.0000 0.5000
C 0.5000 0.5000 0.5000
Te 0.0000 0.0000 0.0000
Cl 0.0000 0.5000 0.0000
Cl 0.5000 0.0000 0.0000

Space group   P4/mmm (123)
Formation energy (no corrections)   1.66 eV per atom
Total magnetization   0.343 μB per formula unit



Record 5
Here is a crystal of Pb3CCl relaxed with PBEsol from the Alexandria database. Energies are from meta-GGA SCAN.

a b c (Å): 5.0285 5.0285 5.0285
angles (deg): 90.00 90.00 90.00
Fractional coordinates of all 5 atoms:
Pb 0.0000 0.5000 0.0000
Pb 0.0000 0.0000 0.5000
Pb 0.5000 0.0000 0.0000
C 0.0000 0.0000 0.0000
Cl 0.5000 0.5000 0.5000

Space group   Pm-3m (221)
Formation energy (no corrections)   0.75 eV per atom
Total magnetization   0.000 μB per formula unit



Record 6
Here is a crystal of PbCCl2 relaxed with PBEsol from the Alexandria database. Energies are from meta-GGA SCAN.

a b c (Å): 6.3219 6.3219 6.3219
angles (deg): 60.00 60.00 60.00
Fractional coordinates of all 8 atoms:
Pb 0.7500 0.7500 0.7500
Pb 0.5000 0.5000 0.5000
C 0.2500 0.2500 0.2500
C 0.0000 0.0000 0.0000
Cl 0.1250 0.1250 0.6250
Cl 0.1250 0.1250 0.1250
Cl 0.6250 0.1250 0.1250
Cl 0.1250 0.6250 0.1250

Space group   Fd-3m (227)
Formation energy (no corrections)   1.12 eV per atom
Total magnetization   0.000 μB per formula unit



Record 7
Here is a crystal of PdCCl3 relaxed with PBEsol from the Alexandria database. Energies are from meta-GGA SCAN.

a b c (Å): 4.7136 4.7136 4.7136
angles (deg): 90.00 90.00 90.00
Fractional coordinates of all 5 atoms:
C 0.5000 0.5000 0.5000
Pd 0.0000 0.0000 0.0000
Cl 0.0000 0.5000 0.0000
Cl 0.0000 0.0000 0.5000
Cl 0.5000 0.0000 0.0000

Space group   Pm-3m (221)
Formation energy (no corrections)   1.17 eV per atom
Total magnetization   1.331 μB per formula unit



Record 8
Here is a crystal of Pr3CCl5 relaxed with PBEsol from the Alexandria database. Energies are from meta-GGA SCAN.

a b c (Å): 8.1412 8.1412 15.6831
angles (deg): 83.70 83.70 63.88
Fractional coordinates of all 36 atoms:
Pr 0.3426 0.0902 0.2960
Pr 0.4627 0.2836 0.9376
Pr 0.6574 0.9098 0.7040
Pr 0.7164 0.5373 0.5624
Pr 0.2862 0.9962 0.5466
Pr 0.9098 0.6574 0.2040
Pr 0.0038 0.7138 0.9534
Pr 0.5373 0.7164 0.0624
Pr 0.7138 0.0038 0.4534
Pr 0.2836 0.4627 0.4376
Pr 0.0902 0.3426 0.7960
Pr 0.9962 0.2862 0.0466
C 0.6105 0.8486 0.5705
C 0.1514 0.3895 0.9295
C 0.8486 0.6105 0.0705
C 0.3895 0.1514 0.4295
Cl 0.3456 0.6161 0.5817
Cl 0.6544 0.3839 0.4183
Cl 0.2813 0.9841 0.7360
Cl 0.1499 0.9018 0.4010
Cl 0.8501 0.0982 0.5990
Cl 0.7187 0.0159 0.2640
Cl 0.2814 0.4644 0.2565
Cl 0.6225 0.8999 0.9055
Cl 0.3839 0.6544 0.9183
Cl 0.7186 0.5356 0.7435
Cl 0.4644 0.2814 0.7565
Cl 0.9841 0.2813 0.2360
Cl 0.9018 0.1499 0.9010
Cl 0.0982 0.8501 0.0990
Cl 0.1001 0.3775 0.5945
Cl 0.8999 0.6225 0.4055
Cl 0.5356 0.7186 0.2435
Cl 0.0159 0.7187 0.7640
Cl 0.3775 0.1001 0.0945
Cl 0.6161 0.3456 0.0817

Space group   C2/c (15)
Formation energy (no corrections)   -2.10 eV per atom
Total magnetization   0.000 μB per formula unit



Record 9
Here is a crystal of PtCCl3 relaxed with PBEsol from the Alexandria database. Energies are from meta-GGA SCAN.

a b c (Å): 4.2696 4.2696 4.2696
angles (deg): 90.00 90.00 90.00
Fractional coordinates of all 5 atoms:
C 0.0000 0.0000 0.0000
Pt 0.5000 0.5000 0.5000
Cl 0.0000 0.5000 0.0000
Cl 0.0000 0.0000 0.5000
Cl 0.5000 0.0000 0.0000

Space group   Pm-3m (221)
Formation energy (no corrections)   1.54 eV per atom
Total magnetization   1.035 μB per formula unit



Record 10
Here is a crystal of YPtCCl2 relaxed with PBEsol from the Alexandria database. Energies are from meta-GGA SCAN.

a b c (Å): 4.5619 4.5619 5.6453
angles (deg): 90.00 90.00 90.00
Fractional coordinates of all 5 atoms:
Y 0.0000 0.0000 0.5000
C 0.5000 0.5000 0.5000
Pt 0.0000 0.0000 0.0000
Cl 0.0000 0.5000 0.0000
Cl 0.5000 0.0000 0.0000

Space group   P4/mmm (123)
Formation energy (no corrections)   0.70 eV per atom
Total magnetization   2.307 μB per formula unit



Record 11
Here is a crystal of RbC3Cl relaxed with PBEsol from the Alexandria database. Energies are from meta-GGA SCAN.

a b c (Å): 5.4965 5.4965 5.4965
angles (deg): 90.00 90.00 90.00
Fractional coordinates of all 5 atoms:
C 0.0000 0.5000 0.0000
C 0.0000 0.0000 0.5000
C 0.5000 0.0000 0.0000
Rb 0.0000 0.0000 0.0000
Cl 0.5000 0.5000 0.5000

Space group   Pm-3m (221)
Formation energy (no corrections)   4.08 eV per atom
Total magnetization   6.000 μB per formula unit



Record 12
Here is a crystal of RbCCl3 relaxed with PBEsol from the Alexandria database. Energies are from meta-GGA SCAN.

a b c (Å): 6.1661 6.1661 6.1661
angles (deg): 90.00 90.00 90.00
Fractional coordinates of all 5 atoms:
C 0.5000 0.5000 0.5000
Rb 0.0000 0.0000 0.0000
Cl 0.0000 0.5000 0.0000
Cl 0.0000 0.0000 0.5000
Cl 0.5000 0.0000 0.0000

Space group   Pm-3m (221)
Formation energy (no corrections)   1.31 eV per atom
Total magnetization   3.248 μB per formula unit



Record 13
Here is a crystal of ReCSCl2 relaxed with PBEsol from the Alexandria database. Energies are from meta-GGA SCAN.

a b c (Å): 4.0020 4.0020 4.1107
angles (deg): 90.00 90.00 90.00
Fractional coordinates of all 5 atoms:
Re 0.5000 0.5000 0.5000
S 0.0000 0.0000 0.5000
C 0.0000 0.0000 0.0000
Cl 0.0000 0.5000 0.0000
Cl 0.5000 0.0000 0.0000

Space group   P4/mmm (123)
Formation energy (no corrections)   2.06 eV per atom
Total magnetization   2.752 μB per formula unit



Record 14
Here is a crystal of RhCCl2 relaxed with PBEsol from the Alexandria database. Energies are from meta-GGA SCAN.

a b c (Å): 5.3500 5.3500 5.3500
angles (deg): 107.44 107.44 113.61
Fractional coordinates of all 8 atoms:
C 0.5000 0.5000 0.0000
C 0.7500 0.2500 0.5000
Rh 0.0000 0.0000 0.0000
Rh 0.2500 0.7500 0.5000
Cl 0.8722 0.8750 0.4972
Cl 0.3778 0.3750 0.5028
Cl 0.1250 0.6222 0.9972
Cl 0.6250 0.1278 0.0028

Space group   I-42d (122)
Formation energy (no corrections)   1.58 eV per atom
Total magnetization   0.003 μB per formula unit



Record 15
Here is a crystal of RhCCl2 relaxed with PBEsol from the Alexandria database. Energies are from meta-GGA SCAN.

a b c (Å): 4.2626 4.2626 4.2626
angles (deg): 60.00 60.00 60.00
Fractional coordinates of all 4 atoms:
C 0.0000 0.0000 0.0000
Rh 0.5000 0.5000 0.5000
Cl 0.2500 0.2500 0.2500
Cl 0.7500 0.7500 0.7500

Space group   Fm-3m (225)
Formation energy (no corrections)   1.77 eV per atom
Total magnetization   1.031 μB per formula unit



Record 16
Here is a crystal of RuRhCCl2 relaxed with PBEsol from the Alexandria database. Energies are from meta-GGA SCAN.

a b c (Å): 4.5019 4.5019 4.7431
angles (deg): 90.00 90.00 90.00
Fractional coordinates of all 5 atoms:
Ru 0.0000 0.0000 0.0000
C 0.5000 0.5000 0.5000
Rh 0.0000 0.0000 0.5000
Cl 0.0000 0.5000 0.0000
Cl 0.5000 0.0000 0.0000

Space group   P4/mmm (123)
Formation energy (no corrections)   1.82 eV per atom
Total magnetization   0.181 μB per formula unit



Record 17
Here is a crystal of RuCSCl2 relaxed with PBEsol from the Alexandria database. Energies are from meta-GGA SCAN.

a b c (Å): 4.2649 4.1101 4.1101
angles (deg): 90.00 90.00 90.00
Fractional coordinates of all 5 atoms:
Ru 0.5000 0.5000 0.5000
S 0.5000 0.0000 0.0000
C 0.0000 0.0000 0.0000
Cl 0.0000 0.0000 0.5000
Cl 0.0000 0.5000 0.0000

Space group   P4/mmm (123)
Formation energy (no corrections)   1.55 eV per atom
Total magnetization   3.592 μB per formula unit



Record 18
Here is a crystal of TcCS2Cl relaxed with PBEsol from the Alexandria database. Energies are from meta-GGA SCAN.

a b c (Å): 3.9822 3.9822 4.0124
angles (deg): 90.00 90.00 90.00
Fractional coordinates of all 5 atoms:
C 0.0000 0.0000 0.0000
S 0.0000 0.5000 0.0000
S 0.5000 0.0000 0.0000
Tc 0.5000 0.5000 0.5000
Cl 0.0000 0.0000 0.5000

Space group   P4/mmm (123)
Formation energy (no corrections)   1.59 eV per atom
Total magnetization   0.000 μB per formula unit



Record 19
Here is a crystal of TcCSCl2 relaxed with PBEsol from the Alexandria database. Energies are from meta-GGA SCAN.

a b c (Å): 4.3852 4.2008 4.2008
angles (deg): 90.00 90.00 90.00
Fractional coordinates of all 5 atoms:
C 0.0000 0.0000 0.0000
S 0.5000 0.0000 0.0000
Tc 0.5000 0.5000 0.5000
Cl 0.0000 0.0000 0.5000
Cl 0.0000 0.5000 0.0000

Space group   P4/mmm (123)
Formation energy (no corrections)   1.33 eV per atom
Total magnetization   4.676 μB per formula unit



Record 20
Here is a crystal of ZnCS2Cl relaxed with PBEsol from the Alexandria database. Energies are from meta-GGA SCAN.

a b c (Å): 4.6160 4.6105 4.6105
angles (deg): 90.00 90.00 90.00
Fractional coordinates of all 5 atoms:
C 0.5000 0.5000 0.5000
Zn 0.0000 0.0000 0.0000
S 0.0000 0.0000 0.5000
S 0.0000 0.5000 0.0000
Cl 0.5000 0.0000 0.0000

Space group   P4/mmm (123)
Formation energy (no corrections)   1.60 eV per atom
Total magnetization   0.768 μB per formula unit